(1)
Crystalline Zr2NpAg at its relaxed geometry. Source: Alexandria, functional PBE.

* total magnetization: 3.7 μB/f.u.
* total energy: -8.04 eV/atom
* distance to the lowest polymorph of the same formula: 0.39 kJ per mole of atoms
* DFT formation energy: 0.177 eV per atom

```
data_Zr2NpAg
_chemical_formula_sum 'Zr2 Np1 Ag1'
_cell_length_a 5.189
_cell_length_b 5.189
_cell_length_c 3.134
_cell_angle_alpha 90.00
_cell_angle_beta 90.00
_cell_angle_gamma 90.00
_symmetry_space_group_name_H-M 'P 4/m m m'
_symmetry_Int_Tables_number 123
_symmetry_space_group_name_Hall '-P 4 2'
loop_
_atom_site_label
_atom_site_type_symbol
_atom_site_fract_x
_atom_site_fract_y
_atom_site_fract_z
_atom_site_occupancy
Zr1 Zr 0.000 0.500 0.000 1
Np1 Np 0.000 0.000 0.500 1
Ag1 Ag 0.500 0.500 0.500 1
```

(2)
Crystalline Ag2O at its relaxed geometry. Source: Alexandria, functional PBE.

* total magnetization: 0.0 μB/f.u.
* total energy: -3.60 eV/atom
* distance to the lowest polymorph of the same formula: 2.90 kJ per mole of atoms

```
data_Ag2O
_chemical_formula_sum 'Ag16 O8'
_cell_length_a 6.852
_cell_length_b 9.658
_cell_length_c 6.313
_cell_angle_alpha 90.00
_cell_angle_beta 90.00
_cell_angle_gamma 90.00
_symmetry_space_group_name_H-M 'I b a m'
_symmetry_Int_Tables_number 72
_symmetry_space_group_name_Hall '-I 2 2c'
loop_
_atom_site_label
_atom_site_type_symbol
_atom_site_fract_x
_atom_site_fract_y
_atom_site_fract_z
_atom_site_occupancy
Ag1 Ag 0.000 0.000 0.000 1
Ag2 Ag 0.000 0.500 0.250 1
Ag3 Ag 0.250 0.250 0.250 1
O1 O 0.226 0.396 0.000 1
```

(3)
Crystalline Ag3O2 at its relaxed geometry. Source: Alexandria, functional PBE.

* total magnetization: 0.0 μB/f.u.
* total energy: -3.59 eV/atom
* distance to the lowest polymorph of the same formula: 9.22 kJ per mole of atoms

```
data_Ag3O2
_chemical_formula_sum 'Ag18 O12'
_cell_length_a 5.4583
_cell_length_b 5.4583
_cell_length_c 17.6883
_cell_angle_alpha 90.00
_cell_angle_beta 90.00
_cell_angle_gamma 120.00
_symmetry_space_group_name_H-M 'R -3 c'
_symmetry_Int_Tables_number 167
_symmetry_space_group_name_Hall '-R 3 2"c'
loop_
_atom_site_label
_atom_site_type_symbol
_atom_site_fract_x
_atom_site_fract_y
_atom_site_fract_z
_atom_site_occupancy
Ag1 Ag 0.0000 0.3354 0.2500 1
O1 O 0.0000 0.0000 0.1605 1
```

(4)
Crystalline AgO at its relaxed geometry. Source: Alexandria, functional PBE.

* total magnetization: 0.8 μB/f.u.
* total energy: -3.63 eV/atom

```
data_AgO
_chemical_formula_sum 'Ag8 O8'
_cell_length_a 6.867
_cell_length_b 6.867
_cell_length_c 6.867
_cell_angle_alpha 90.00
_cell_angle_beta 90.00
_cell_angle_gamma 90.00
_symmetry_space_group_name_H-M 'I -4 3 m'
_symmetry_Int_Tables_number 217
_symmetry_space_group_name_Hall 'I -4 2 3'
loop_
_atom_site_label
_atom_site_type_symbol
_atom_site_fract_x
_atom_site_fract_y
_atom_site_fract_z
_atom_site_occupancy
Ag1 Ag 0.177 0.177 0.823 1
O1 O 0.150 0.150 0.150 1
```